Entry from the Alexandria database: a geometry-optimized Ca3Tl5Pd12 structure (PBE).

Results
Mass density: 7.87 g/cm3
Formation energy: 0.023 eV/atom
V: 25.52 Å³ per atom
Spin magnetization: 0.00 μB/cell
Total energy: -0.2929 Ry per atom

a = 15.9838 Å, b = 15.9838 Å, c = 15.9838 Å
α = 90.00°, β = 90.00°, γ = 90.00°
With the nearest neighbours (Å) after each atom.
Space group Ia-3d (No. 230)
One atom of each set of equivalent atoms:
1 Ca 0.0000 0.2500 0.1250 (multiplicity 24)  8 Pd 2.79-2.87
2 Tl 0.0000 0.0000 0.0000 (multiplicity 16)  6 Pd 2.69
3 Tl 0.0000 0.2500 0.3750 (multiplicity 24)  4 Pd 2.79
4 Pd 0.0001 0.0723 0.1522 (multiplicity 96)  2 Tl 2.69-2.79, 3 Pd 2.78-2.98, 2 Ca 2.79-2.87


Entry from the Alexandria database: a geometry-optimized Ca8TlPd2 structure (PBE).

Results
Mass density: 3.49 g/cm3
Formation energy: -0.367 eV/atom
V: 31.89 Å³ per atom
Spin magnetization: 0.00 μB/cell
Total energy: -0.2192 Ry per atom

a = 9.1972 Å, b = 13.5927 Å, c = 5.7891 Å
α = 90.00°, β = 104.24°, γ = 90.00°
With the nearest neighbours (Å) after each atom.
Space group Cm (No. 8)
One atom of each set of equivalent atoms:
1 Ca 0.0000 0.0000 0.0000 (multiplicity 2)  2 Pd 3.10, 1 Tl 3.38
2 Ca 0.0742 0.3683 0.7800 (multiplicity 4)  2 Pd 3.03-3.05
3 Ca 0.1816 0.1317 0.6139 (multiplicity 4)  2 Pd 3.03-3.05
4 Ca 0.2559 0.5000 0.3941 (multiplicity 2)  2 Pd 3.11, 1 Tl 3.38
5 Ca 0.3778 0.2430 0.1970 (multiplicity 4)  2 Pd 3.06, 1 Tl 3.30
6 Tl 0.3779 0.0000 0.1979 (multiplicity 2)  4 Ca 3.30-3.38
7 Pd 0.3780 0.3157 0.6972 (multiplicity 4)  8 Ca 3.03-3.11


Entry from the Alexandria database: a geometry-optimized Ca12Tl3Pd5 structure (PBE).

Results
Mass density: 3.91 g/cm3
Formation energy: -0.264 eV/atom
V: 34.50 Å³ per atom
Spin magnetization: 0.00 μB/cell
Total energy: -0.2292 Ry per atom

a = 17.6727 Å, b = 17.6727 Å, c = 17.6727 Å
α = 90.00°, β = 90.00°, γ = 90.00°
With the nearest neighbours (Å) after each atom.
Space group Ia-3d (No. 230)
One atom of each set of equivalent atoms:
1 Ca 0.0267 0.0629 0.6488 (multiplicity 96)  2 Pd 2.73-2.89
2 Tl 0.0000 0.2500 0.1250 (multiplicity 24)  8 Ca 3.37-3.41
3 Pd 0.0000 0.0000 0.0000 (multiplicity 16)  6 Ca 2.89
4 Pd 0.0000 0.2500 0.3750 (multiplicity 24)  4 Ca 2.73


Entry from the Alexandria database: a geometry-optimized CaTl2Pd5 structure (PBE).

Results
Mass density: 10.91 g/cm3
Formation energy: -0.310 eV/atom
Energy above the most stable polymorph in this dataset: 0.040 eV/atom
V: 18.66 Å³ per atom
Spin magnetization: 0.00 μB/cell
Total energy: -0.3232 Ry per atom

a = 6.9534 Å, b = 6.9671 Å, c = 12.3268 Å
α = 90.00°, β = 90.00°, γ = 90.00°
With the nearest neighbours (Å) after each atom.
Space group Fmmm (No. 69)
One atom of each set of equivalent atoms:
1 Ca 0.0000 0.0000 0.0000 (multiplicity 4)  8 Pd 2.92, 2 Tl 3.25
2 Tl 0.0000 0.0000 0.2637 (multiplicity 8)  9 Pd 2.81-2.98
3 Pd 0.0000 0.0000 0.5000 (multiplicity 4)  2 Tl 2.91, 8 Pd 2.92
4 Pd 0.2500 0.2500 0.1269 (multiplicity 16)  4 Tl 2.81-2.98, 4 Pd 2.92-3.13, 2 Ca 2.92


Entry from the Alexandria database: a geometry-optimized Ca2Tl2Pd structure (PBE).

Results
Mass density: 7.29 g/cm3
Formation energy: -0.342 eV/atom
Energy above the most stable polymorph in this dataset: 0.135 eV/atom
V: 27.13 Å³ per atom
Spin magnetization: 0.00 μB/cell
Total energy: -0.2299 Ry per atom

a = 7.4788 Å, b = 7.4788 Å, c = 4.8514 Å
α = 90.00°, β = 90.00°, γ = 90.00°
With the nearest neighbours (Å) after each atom.
Space group P4/mbm (No. 127)
One atom of each set of equivalent atoms:
1 Ca 0.1702 0.3298 0.0000 (multiplicity 4)  6 Tl 3.13-3.38
2 Tl 0.1428 0.6428 0.5000 (multiplicity 4)  2 Pd 2.88, 1 Tl 3.02, 2 Ca 3.13
3 Pd 0.0000 0.0000 0.5000 (multiplicity 2)  4 Tl 2.88


Entry from the Alexandria database: a geometry-optimized CaTl2Pd2 structure (PBE).

Results
Mass density: 9.16 g/cm3
Formation energy: -0.317 eV/atom
Energy above the most stable polymorph in this dataset: 0.075 eV/atom
V: 24.00 Å³ per atom
Spin magnetization: 0.00 μB/cell
Total energy: -0.2750 Ry per atom

a = 10.4974 Å, b = 9.0202 Å, c = 5.5805 Å
α = 90.00°, β = 114.72°, γ = 90.00°
With the nearest neighbours (Å) after each atom.
Space group C2/c (No. 15)
One atom of each set of equivalent atoms:
1 Ca 0.0000 0.1361 0.2500 (multiplicity 4)  4 Pd 2.89-3.21
2 Tl 0.2306 0.3933 0.1462 (multiplicity 8)  4 Pd 2.78-2.96
3 Pd 0.0000 0.2192 0.7500 (multiplicity 4)  4 Tl 2.83-2.96, 2 Ca 2.89, 1 Pd 2.90
4 Pd 0.0000 0.4595 0.2500 (multiplicity 4)  4 Tl 2.78-2.83, 3 Pd 2.88-2.90, 1 Ca 2.92


Entry from the Alexandria database: a geometry-optimized CaTlPd2 structure (PBE).

Results
Mass density: 8.35 g/cm3
Formation energy: 0.107 eV/atom
V: 22.74 Å³ per atom
Spin magnetization: 0.00 μB/cell
Total energy: -0.2633 Ry per atom

a = 3.1733 Å, b = 5.2659 Å, c = 10.8861 Å
α = 90.00°, β = 90.00°, γ = 90.00°
With the nearest neighbours (Å) after each atom.
Space group Immm (No. 71)
One atom of each set of equivalent atoms:
1 Ca 0.0000 0.0000 0.0000 (multiplicity 2)  2 Pd 2.73
2 Tl 0.0000 0.0000 0.5000 (multiplicity 2)  2 Pd 2.71
3 Pd 0.0000 0.0000 0.2510 (multiplicity 4)  1 Tl 2.71, 1 Ca 2.73


Entry from the Alexandria database: a geometry-optimized CaTlPd2 structure (PBE).

Results
Mass density: 9.20 g/cm3
Formation energy: -0.417 eV/atom
V: 20.63 Å³ per atom
Spin magnetization: 0.00 μB/cell
Total energy: -0.3018 Ry per atom

a = 3.6108 Å, b = 3.6108 Å, c = 6.3294 Å
α = 90.00°, β = 90.00°, γ = 90.00°
With the nearest neighbours (Å) after each atom.
Space group P4/mmm (No. 123)
One atom of each set of equivalent atoms:
1 Ca 0.0000 0.0000 0.0000 (multiplicity 1)  8 Pd 3.06, 2 Tl 3.16
2 Tl 0.0000 0.0000 0.5000 (multiplicity 1)  8 Pd 2.95, 2 Ca 3.16
3 Pd 0.5000 0.5000 0.2660 (multiplicity 2)  4 Tl 2.95, 1 Pd 2.96, 4 Ca 3.06


Entry from the Alexandria database: a geometry-optimized CaTl2Pd2 structure (PBE).

Results
Mass density: 9.98 g/cm3
Formation energy: -0.334 eV/atom
Energy above the most stable polymorph in this dataset: 0.058 eV/atom
V: 22.02 Å³ per atom
Spin magnetization: 0.00 μB/cell
Total energy: -0.2762 Ry per atom

a = 7.7129 Å, b = 7.7129 Å, c = 3.7008 Å
α = 90.00°, β = 90.00°, γ = 90.00°
With the nearest neighbours (Å) after each atom.
Space group P4/mbm (No. 127)
One atom of each set of equivalent atoms:
1 Ca 0.0000 0.0000 0.0000 (multiplicity 2)  4 Pd 3.01
2 Tl 0.1611 0.3389 0.5000 (multiplicity 4)  6 Pd 2.90-2.94
3 Pd 0.1340 0.6340 0.0000 (multiplicity 4)  6 Tl 2.90-2.94, 1 Pd 2.92, 2 Ca 3.01


Entry from the Alexandria database: a geometry-optimized CaTl2Pd9 structure (PBE).

Results
Mass density: 11.31 g/cm3
Formation energy: -0.283 eV/atom
V: 17.22 Å³ per atom
Spin magnetization: 0.00 μB/cell
Total energy: -0.3483 Ry per atom

a = 4.0910 Å, b = 4.0910 Å, c = 12.3442 Å
α = 90.00°, β = 90.00°, γ = 90.00°
With the nearest neighbours (Å) after each atom.
Space group P4/mmm (No. 123)
One atom of each set of equivalent atoms:
1 Ca 0.0000 0.0000 0.0000 (multiplicity 1)  12 Pd 2.89-2.94
2 Tl 0.0000 0.0000 0.3363 (multiplicity 2)  12 Pd 2.88-2.89
3 Pd 0.0000 0.5000 0.1710 (multiplicity 4)  8 Pd 2.86-2.94, 2 Tl 2.89, 2 Ca 2.94
4 Pd 0.0000 0.5000 0.5000 (multiplicity 2)  4 Tl 2.88, 8 Pd 2.89-2.91
5 Pd 0.5000 0.5000 0.0000 (multiplicity 1)  4 Ca 2.89, 8 Pd 2.94
6 Pd 0.5000 0.5000 0.3327 (multiplicity 2)  8 Pd 2.86-2.91, 4 Tl 2.89


Entry from the Alexandria database: a geometry-optimized Ca4Tl5Pd2 structure (PBE).

Results
Mass density: 7.76 g/cm3
Formation energy: -0.434 eV/atom
V: 27.12 Å³ per atom
Spin magnetization: 0.00 μB/cell
Total energy: -0.2338 Ry per atom

a = 7.9098 Å, b = 3.8148 Å, c = 9.9077 Å
α = 90.00°, β = 93.62°, γ = 90.00°
With the nearest neighbours (Å) after each atom.
Space group P2/m (No. 10)
One atom of each set of equivalent atoms:
1 Ca 0.1830 0.0000 0.3523 (multiplicity 2)  2 Pd 2.96
2 Ca 0.2207 0.0000 0.9343 (multiplicity 2)  4 Pd 3.05, 2 Tl 3.40
3 Tl 0.1642 0.5000 0.6479 (multiplicity 2)  1 Pd 2.93, 1 Tl 3.11
4 Tl 0.4427 0.5000 0.1675 (multiplicity 2)  1 Pd 2.92
5 Tl 0.5000 0.5000 0.5000 (multiplicity 1)  4 Tl 3.11-3.30, 4 Ca 3.41
6 Pd 0.0726 0.5000 0.1358 (multiplicity 2)  1 Pd 2.86, 2 Tl 2.92-2.93, 6 Ca 2.96-3.05


Entry from the Alexandria database: a geometry-optimized CaTl2Pd2 structure (PBE).

Results
Mass density: 9.04 g/cm3
Formation energy: -0.305 eV/atom
Energy above the most stable polymorph in this dataset: 0.087 eV/atom
V: 24.31 Å³ per atom
Spin magnetization: 0.00 μB/cell
Total energy: -0.2741 Ry per atom

a = 4.4627 Å, b = 4.4627 Å, c = 12.2060 Å
α = 90.00°, β = 90.00°, γ = 90.00°
With the nearest neighbours (Å) after each atom.
Space group I4/mmm (No. 139)
One atom of each set of equivalent atoms:
1 Ca 0.0000 0.0000 0.0000 (multiplicity 2)  8 Pd 3.41, 8 Tl 3.78
2 Tl 0.0000 0.5000 0.2500 (multiplicity 4)  4 Pd 2.83, 4 Tl 3.16
3 Pd 0.0000 0.0000 0.3932 (multiplicity 4)  1 Pd 2.61, 4 Tl 2.83